The following is a DFT calculation (PBE) of crystalline LaPmDyEr3 at its relaxed geometry.

a b c (Å): 5.619 10.253 7.117
angles (deg): 90.48 90.00 105.90
Sites, in units of the cell vectors:
La: 0.355 0.710 0.965
La: 0.645 0.290 0.035
Pm: 0.053 0.105 0.269
Pm: 0.947 0.895 0.731
Dy: 0.651 0.301 0.458
Dy: 0.349 0.699 0.542
Er: 0.835 0.671 0.269
Er: 0.779 0.558 0.757
Er: 0.476 0.952 0.265
Er: 0.221 0.442 0.243
Er: 0.524 0.048 0.735
Er: 0.165 0.329 0.731

Calculated values
**V**: 32.9 Å³/atom
**Total DFT energy (no corrections)**: -26.786 eV/f.u.
**Size of the total moment**: 0.00 μB/cell
**Fermi-level density of states**: 9.82 states/eV/f.u.
**Formation energy**: 197 meV/atom
**Space group**: C2/m (12)